# 1
The following is a DFT calculation (GGA-PBE) of a geometry-optimized CeCuAg structure.

a b c (Å): 5.8153 5.8153 5.8153
angles (deg): 145.93 145.93 48.95
Sites, in units of the cell vectors:
Ce: 0.0000 0.0000 0.0000
Cu: 0.3217 0.3217 0.0000
Ag: 0.7016 0.7016 0.0000

Computed properties:
- Mass density: 8.419 Mg/m³
- Volume: 20.48 Å³ per atom
- Energy above the most stable polymorph in this dataset: 81 meV per atom
- Final energy: -4.3178 eV/atom
- ΔE_f: -0.0240 eV/atom
- Magnetic moment: 1.13 μB per cell
- Space-group type: No. 107


# 2
The following is a DFT calculation (GGA-PBE) of a geometry-optimized Ce2CuAg structure.

a b c (Å): 3.7426 3.7426 6.6880
angles (deg): 90.00 90.00 90.00
Sites, in units of the cell vectors:
Ce: 0.0000 0.0000 0.2126
Ce: 0.0000 0.0000 0.7874
Cu: 0.5000 0.5000 0.0000
Ag: 0.5000 0.5000 0.5000

Computed properties:
- Mass density: 8.006 Mg/m³
- Volume: 23.42 Å³ per atom
- Energy above the most stable polymorph in this dataset: 0 meV per atom
- Final energy: -4.7569 eV/atom
- ΔE_f: -0.0531 eV/atom
- Magnetic moment: 1.57 μB per cell
- Space-group type: No. 123


# 3
The following is a DFT calculation (GGA-PBE) of a geometry-optimized CeDyCuAg structure.

a b c (Å): 5.1014 5.1014 5.1014
angles (deg): 60.00 60.00 60.00
Sites, in units of the cell vectors:
Ce: 0.0000 0.0000 0.0000
Dy: 0.5000 0.5000 0.5000
Cu: 0.2500 0.2500 0.2500
Ag: 0.7500 0.7500 0.7500

Computed properties:
- Mass density: 8.385 Mg/m³
- Volume: 23.47 Å³ per atom
- Final energy: -4.4924 eV/atom
- ΔE_f: -0.1216 eV/atom
- Magnetic moment: 0.72 μB per cell
- Space-group type: No. 216


# 4
The following is a DFT calculation (GGA-PBE) of a geometry-optimized CeErCuAg structure.

a b c (Å): 5.0798 5.0798 5.0798
angles (deg): 60.00 60.00 60.00
Sites, in units of the cell vectors:
Ce: 0.0000 0.0000 0.0000
Er: 0.5000 0.5000 0.5000
Cu: 0.7500 0.7500 0.7500
Ag: 0.2500 0.2500 0.2500

Computed properties:
- Mass density: 8.578 Mg/m³
- Volume: 23.17 Å³ per atom
- Final energy: -4.4914 eV/atom
- ΔE_f: -0.1304 eV/atom
- Magnetic moment: 0.67 μB per cell
- Space-group type: No. 216


# 5
The following is a DFT calculation (GGA-PBE) of a geometry-optimized CeCuAgF6 structure.

a b c (Å): 5.8358 5.8358 10.0797
angles (deg): 90.00 90.00 120.00
Sites, in units of the cell vectors:
Ce: 0.3333 0.6667 0.2500
Ce: 0.6667 0.3333 0.7500
Cu: 0.3333 0.6667 0.7500
Cu: 0.6667 0.3333 0.2500
Ag: 0.0000 0.0000 0.0000
Ag: 0.0000 0.0000 0.5000
F: 0.0089 0.3608 0.6364
F: 0.0089 0.6480 0.8636
F: 0.3520 0.3608 0.8636
F: 0.3520 0.9911 0.6364
F: 0.3608 0.0089 0.1364
F: 0.3608 0.3520 0.3636
F: 0.6392 0.6480 0.6364
F: 0.6392 0.9911 0.8636
F: 0.6480 0.0089 0.3636
F: 0.6480 0.6392 0.1364
F: 0.9911 0.3520 0.1364
F: 0.9911 0.6392 0.3636

Computed properties:
- Mass density: 4.754 Mg/m³
- Volume: 16.52 Å³ per atom
- Final energy: -5.1721 eV/atom
- Magnetic moment: 1.33 μB per cell
- Formation energy from raw total energies: -2493.3 meV/atom
- Space-group type: No. 163


# 6
The following is a DFT calculation (GGA-PBE) of a geometry-optimized CeGa4Cu2Ag structure.

a b c (Å): 9.3882 9.3882 9.3882
angles (deg): 26.25 26.25 26.25
Sites, in units of the cell vectors:
Ce: 0.0000 0.0000 0.0000
Ga: 0.1196 0.1196 0.1196
Ga: 0.3979 0.3979 0.3979
Ga: 0.6021 0.6021 0.6021
Ga: 0.8804 0.8804 0.8804
Cu: 0.2442 0.2442 0.2442
Cu: 0.7558 0.7558 0.7558
Ag: 0.5000 0.5000 0.5000

Computed properties:
- Mass density: 7.612 Mg/m³
- Volume: 17.83 Å³ per atom
- Final energy: -3.8484 eV/atom
- ΔE_f: -0.2127 eV/atom
- Magnetic moment: 0.45 μB per cell
- Space-group type: No. 166


# 7
The following is a DFT calculation (GGA-PBE) of a geometry-optimized CeGa3CuAg structure.

a b c (Å): 6.8978 6.8978 6.5214
angles (deg): 90.00 90.00 129.14
Sites, in units of the cell vectors:
Ce: 0.2027 0.7973 0.7500
Ce: 0.7973 0.2027 0.2500
Ga: 0.2220 0.2220 0.0000
Ga: 0.2220 0.2220 0.5000
Ga: 0.3690 0.6310 0.2500
Ga: 0.6310 0.3690 0.7500
Ga: 0.7780 0.7780 0.0000
Ga: 0.7780 0.7780 0.5000
Cu: 0.4238 0.5762 0.7500
Cu: 0.5762 0.4238 0.2500
Ag: 0.1537 0.8463 0.2500
Ag: 0.8463 0.1537 0.7500

Computed properties:
- Mass density: 7.185 Mg/m³
- Volume: 20.06 Å³ per atom
- Final energy: -3.7607 eV/atom
- ΔE_f: -0.1004 eV/atom
- Magnetic moment: 2.17 μB per cell
- Space-group type: No. 63


# 8
The following is a DFT calculation (GGA-PBE) of a geometry-optimized Ce2Ga4Cu3Ag structure.

a b c (Å): 4.2546 4.2546 10.2504
angles (deg): 90.00 90.00 90.00
Sites, in units of the cell vectors:
Ce: 0.0000 0.5000 0.2435
Ce: 0.5000 0.0000 0.7565
Ga: 0.0000 0.0000 0.0000
Ga: 0.0000 0.5000 0.6423
Ga: 0.5000 0.0000 0.3577
Ga: 0.5000 0.5000 0.0000
Cu: 0.0000 0.5000 0.8747
Cu: 0.5000 0.0000 0.1253
Cu: 0.5000 0.5000 0.5000
Ag: 0.0000 0.0000 0.5000

Computed properties:
- Mass density: 7.675 Mg/m³
- Volume: 18.56 Å³ per atom
- Final energy: -4.2806 eV/atom
- ΔE_f: -0.3691 eV/atom
- Magnetic moment: 1.37 μB per cell
- Space-group type: No. 115